No. 1
A plane-wave DFT calculation with PBE was carried out for a geometry-optimized NaLa4Tl3 structure.

CIF file:
```
data_NaLa4Tl3
_chemical_formula_sum 'Na2 La8 Tl6'
_symmetry_space_group_name_H-M 'I 4/m m m'
_symmetry_Int_Tables_number 139
_symmetry_space_group_name_Hall '-I 4 2'
_cell_length_a 5.578
_cell_length_b 5.578
_cell_length_c 16.459
_cell_angle_alpha 90.00
_cell_angle_beta 90.00
_cell_angle_gamma 90.00
loop_
_atom_site_label
_atom_site_type_symbol
_atom_site_fract_x
_atom_site_fract_y
_atom_site_fract_z
Na1 Na 0.000 0.000 0.000
La1 La 0.000 0.500 0.129
Tl1 Tl 0.000 0.000 0.247
Tl2 Tl 0.000 0.000 0.500
```

Calculated values
Magnetic moment (μB/cell): 0.00
DFT formation energy (meV per atom): -283

***

No. 2
A plane-wave DFT calculation with PBE was carried out for a geometry-optimized NaLa3Tl4 structure.

CIF file:
```
data_NaLa3Tl4
_chemical_formula_sum 'Na3 La9 Tl12'
_symmetry_space_group_name_H-M 'R -3 m'
_symmetry_Int_Tables_number 166
_symmetry_space_group_name_Hall '-R 3 2"'
_cell_length_a 5.5216
_cell_length_b 5.5216
_cell_length_c 27.9797
_cell_angle_alpha 90.00
_cell_angle_beta 90.00
_cell_angle_gamma 120.00
loop_
_atom_site_label
_atom_site_type_symbol
_atom_site_fract_x
_atom_site_fract_y
_atom_site_fract_z
Na1 Na 0.0000 0.0000 0.0000
La1 La 0.0000 0.0000 0.2565
La2 La 0.0000 0.0000 0.5000
Tl1 Tl 0.0000 0.0000 0.1245
Tl2 Tl 0.0000 0.0000 0.3747
```

Calculated values
Magnetic moment (μB/cell): 0.00
DFT formation energy (meV per atom): -361

***

No. 3
A plane-wave DFT calculation with PBE was carried out for a geometry-optimized Na2La2Tl structure.

CIF file:
```
data_Na2La2Tl
_chemical_formula_sum 'Na4 La4 Tl2'
_symmetry_space_group_name_H-M 'P 4/m b m'
_symmetry_Int_Tables_number 127
_symmetry_space_group_name_Hall '-P 4 2ab'
_cell_length_a 7.623
_cell_length_b 7.623
_cell_length_c 5.499
_cell_angle_alpha 90.00
_cell_angle_beta 90.00
_cell_angle_gamma 90.00
loop_
_atom_site_label
_atom_site_type_symbol
_atom_site_fract_x
_atom_site_fract_y
_atom_site_fract_z
Na1 Na 0.131 0.369 0.000
La1 La 0.184 0.684 0.500
Tl1 Tl 0.000 0.000 0.000
```

Calculated values
Magnetic moment (μB/cell): 0.00
DFT formation energy (meV per atom): 127
Offset from the most stable computed form (meV per atom): 0

***

No. 4
A plane-wave DFT calculation with PBE was carried out for a geometry-optimized NaLaTl2 structure.

CIF file:
```
data_NaLaTl2
_chemical_formula_sum 'Na3 La3 Tl6'
_symmetry_space_group_name_H-M 'R 3 m'
_symmetry_Int_Tables_number 160
_symmetry_space_group_name_Hall 'R 3 -2"'
_cell_length_a 3.5633
_cell_length_b 3.5633
_cell_length_c 33.2193
_cell_angle_alpha 90.00
_cell_angle_beta 90.00
_cell_angle_gamma 120.00
loop_
_atom_site_label
_atom_site_type_symbol
_atom_site_fract_x
_atom_site_fract_y
_atom_site_fract_z
Na1 Na 0.0000 0.0000 0.0000
La1 La 0.0000 0.0000 0.8334
Tl1 Tl 0.0000 0.0000 0.2528
Tl2 Tl 0.0000 0.0000 0.4139
```

Calculated values
Magnetic moment (μB/cell): 0.00
DFT formation energy (meV per atom): -119
Offset from the most stable computed form (meV per atom): 181

***

No. 5
A plane-wave DFT calculation with PBE was carried out for a geometry-optimized NaLa3Tl5 structure.

CIF file:
```
data_NaLa3Tl5
_chemical_formula_sum 'Na4 La12 Tl20'
_symmetry_space_group_name_H-M 'C 1 2/m 1'
_symmetry_Int_Tables_number 12
_cell_length_a 9.638
_cell_length_b 16.681
_cell_length_c 6.789
_cell_angle_alpha 90.00
_cell_angle_beta 90.00
_cell_angle_gamma 90.00
loop_
_symmetry_equiv_pos_as_xyz
'x,y,z'
'-x,-y,-z'
'-x,y,-z'
'x,-y,z'
'x+1/2,y+1/2,z'
'-x+1/2,-y+1/2,-z'
'-x+1/2,y+1/2,-z'
'x+1/2,-y+1/2,z'
loop_
_atom_site_label
_atom_site_type_symbol
_atom_site_fract_x
_atom_site_fract_y
_atom_site_fract_z
Na1 Na 0.000 0.000 0.000
Na2 Na 0.000 0.000 0.500
La1 La 0.143 0.500 0.249
La2 La 0.179 0.179 0.252
Tl1 Tl 0.000 0.333 0.000
Tl2 Tl 0.000 0.334 0.500
Tl3 Tl 0.153 0.154 0.752
Tl4 Tl 0.193 0.500 0.750
```

Calculated values
Magnetic moment (μB/cell): 0.00
DFT formation energy (meV per atom): -327

***

No. 6
A plane-wave DFT calculation with PBE was carried out for a geometry-optimized NaLa5Tl6 structure.

CIF file:
```
data_NaLa5Tl6
_chemical_formula_sum 'Na1 La5 Tl6'
_symmetry_space_group_name_H-M 'P 1 2/m 1'
_symmetry_Int_Tables_number 10
_cell_length_a 5.585
_cell_length_b 7.900
_cell_length_c 8.864
_cell_angle_alpha 90.00
_cell_angle_beta 108.16
_cell_angle_gamma 90.00
loop_
_symmetry_equiv_pos_as_xyz
'x,y,z'
'-x,-y,-z'
'-x,y,-z'
'x,-y,z'
loop_
_atom_site_label
_atom_site_type_symbol
_atom_site_fract_x
_atom_site_fract_y
_atom_site_fract_z
Na1 Na 0.000 0.000 0.000
La1 La 0.000 0.500 0.000
La2 La 0.330 0.500 0.660
La3 La 0.341 0.000 0.681
Tl1 Tl 0.163 0.240 0.326
Tl2 Tl 0.500 0.250 0.000
```

Calculated values
Magnetic moment (μB/cell): 0.00
DFT formation energy (meV per atom): -378

***

No. 7
A plane-wave DFT calculation with PBE was carried out for a geometry-optimized Na3La2Tl4 structure.

CIF file:
```
data_Na3La2Tl4
_chemical_formula_sum 'Na6 La4 Tl8'
_symmetry_space_group_name_H-M 'C 1 2/m 1'
_symmetry_Int_Tables_number 12
_cell_length_a 9.482
_cell_length_b 5.466
_cell_length_c 10.462
_cell_angle_alpha 90.00
_cell_angle_beta 90.21
_cell_angle_gamma 90.00
loop_
_symmetry_equiv_pos_as_xyz
'x,y,z'
'-x,-y,-z'
'-x,y,-z'
'x,-y,z'
'x+1/2,y+1/2,z'
'-x+1/2,-y+1/2,-z'
'-x+1/2,y+1/2,-z'
'x+1/2,-y+1/2,z'
loop_
_atom_site_label
_atom_site_type_symbol
_atom_site_fract_x
_atom_site_fract_y
_atom_site_fract_z
Na1 Na 0.000 0.000 0.000
Na2 Na 0.166 0.500 0.566
La1 La 0.167 0.500 0.199
Tl1 Tl 0.001 0.000 0.338
Tl2 Tl 0.166 0.500 0.882
```

Calculated values
Magnetic moment (μB/cell): 0.00
DFT formation energy (meV per atom): -223
Offset from the most stable computed form (meV per atom): 0

***

No. 8
A plane-wave DFT calculation with PBE was carried out for a geometry-optimized NaLaTl structure.

CIF file:
```
data_NaLaTl
_chemical_formula_sum 'Na2 La2 Tl2'
_symmetry_space_group_name_H-M 'P 63/m m c'
_symmetry_Int_Tables_number 194
_symmetry_space_group_name_Hall '-P 6c 2c'
_cell_length_a 5.7191
_cell_length_b 5.7191
_cell_length_c 6.6990
_cell_angle_alpha 90.00
_cell_angle_beta 90.00
_cell_angle_gamma 120.00
loop_
_atom_site_label
_atom_site_type_symbol
_atom_site_fract_x
_atom_site_fract_y
_atom_site_fract_z
Na1 Na 0.0000 0.0000 0.0000
La1 La 0.3333 0.6667 0.2500
Tl1 Tl 0.3333 0.6667 0.7500
```

Calculated values
Magnetic moment (μB/cell): 0.00
DFT formation energy (meV per atom): -204
Offset from the most stable computed form (meV per atom): 0